Density functional theory data (GGA-PBE) for Ba6HgPAu2 after structural relaxation.

```
Ba6HgPAu2
1.0
4.142 2.391 7.761
-4.142 2.391 7.761
0.000 -4.783 7.761
Ba Hg P Au
6 1 1 2
Cartesian
-1.320 -2.338 7.761 Ba
-2.511 0.111 11.486 Ba
-1.365 2.312 7.761 Ba
1.159 -2.230 11.486 Ba
2.685 0.025 7.761 Ba
1.352 2.119 11.486 Ba
0.000 0.000 21.086 Hg
0.000 0.000 9.456 P
0.000 0.000 1.875 Au
0.000 0.000 13.731 Au
```

energy = -2.98 eV/atom
energy of formation = -6.0 eV per formula unit
theoretical density = 5.22 Mg/m³

=====

Density functional theory data (GGA-PBE) for Ba2HgPb6Au after structural relaxation.

```
Ba2HgPb6Au
1.0
3.799 2.193 14.288
-3.799 2.193 14.288
0.000 -4.387 14.288
Ba Hg Pb Au
4 2 12 2
Cartesian
0.000 0.000 4.863 Ba
0.000 0.000 12.371 Ba
0.000 0.000 30.492 Ba
0.000 0.000 38.001 Ba
0.000 0.000 18.320 Hg
0.000 0.000 24.544 Hg
-2.205 -1.273 20.000 Pb
0.000 -1.929 15.885 Pb
-1.671 0.964 15.885 Pb
-1.671 -0.964 26.979 Pb
0.000 -2.546 22.863 Pb
-2.205 1.273 22.863 Pb
2.205 -1.273 20.000 Pb
0.000 2.546 20.000 Pb
1.671 0.964 15.885 Pb
1.671 -0.964 26.979 Pb
0.000 1.929 26.979 Pb
2.205 1.273 22.863 Pb
0.000 0.000 0.000 Au
0.000 0.000 21.432 Au
```

energy = -3.14 eV/atom
energy of formation = -1.8 eV per formula unit
theoretical density = 8.91 Mg/m³

=====

Density functional theory data (GGA-PBE) for Ba2Hg6PbAu after structural relaxation.

```
Ba2Hg6PbAu
1.0
0.000 5.645 5.645
5.645 0.000 5.645
5.645 5.645 0.000
Ba Hg Pb Au
2 6 1 1
Cartesian
2.823 2.823 2.823 Ba
8.468 8.468 8.468 Ba
5.645 5.645 2.725 Hg
5.645 2.725 5.645 Hg
8.566 5.645 5.645 Hg
2.725 5.645 5.645 Hg
5.645 8.566 5.645 Hg
5.645 5.645 8.566 Hg
5.645 5.645 5.645 Pb
0.000 0.000 0.000 Au
```

energy = -1.41 eV/atom
energy of formation = -1.5 eV per formula unit
theoretical density = 8.69 Mg/m³

=====

Density functional theory data (GGA-PBE) for BaHgPbAu2 after structural relaxation.

```
BaHgPbAu2
1.0
4.681 0.000 0.000
0.000 4.681 0.000
0.000 0.000 12.944
Ba Hg Pb Au
2 2 2 4
Cartesian
0.000 0.000 0.000 Ba
2.340 2.340 6.472 Ba
0.000 2.340 3.236 Hg
2.340 0.000 9.708 Hg
0.000 2.340 9.708 Pb
2.340 0.000 3.236 Pb
0.000 0.000 5.102 Au
0.000 0.000 7.842 Au
2.340 2.340 1.370 Au
2.340 2.340 11.574 Au
```

energy = -2.95 eV/atom
energy of formation = -2.2 eV per formula unit
theoretical density = 11.00 Mg/m³

=====

Density functional theory data (GGA-PBE) for Ba3Hg2PbAu6 after structural relaxation.

```
Ba3Hg2PbAu6
1.0
6.782 0.000 0.000
-3.391 5.873 0.000
0.000 0.000 9.046
Ba Hg Pb Au
3 2 1 6
Cartesian
0.000 0.000 0.000 Ba
0.000 3.916 5.691 Ba
3.391 1.958 3.355 Ba
0.000 3.916 0.078 Hg
3.391 1.958 8.968 Hg
0.000 0.000 4.523 Pb
0.000 2.248 2.598 Au
-1.444 4.749 2.598 Au
1.947 1.124 6.448 Au
1.444 4.749 2.598 Au
4.835 1.124 6.448 Au
3.391 3.625 6.448 Au
```

energy = -2.95 eV/atom
energy of formation = -5.6 eV per formula unit
theoretical density = 10.15 Mg/m³

=====

Density functional theory data (GGA-PBE) for Ba3Hg2Pb2Au4 after structural relaxation.

```
Ba3Hg2Pb2Au4
1.0
5.019 0.000 0.000
-2.510 4.347 0.000
0.000 0.000 15.859
Ba Hg Pb Au
3 2 2 4
Cartesian
0.000 0.000 0.000 Ba
0.000 0.000 4.252 Ba
0.000 0.000 11.607 Ba
0.000 2.898 2.134 Hg
2.510 1.449 13.725 Hg
0.000 2.898 9.105 Pb
2.510 1.449 6.754 Pb
0.000 2.898 6.170 Au
0.000 2.898 13.814 Au
2.510 1.449 2.045 Au
2.510 1.449 9.689 Au
```

energy = -2.93 eV/atom
energy of formation = -5.4 eV per formula unit
theoretical density = 9.67 Mg/m³

=====

Density functional theory data (GGA-PBE) for BaHgPbAu after structural relaxation.

```
BaHgPbAu
1.0
7.789 0.000 0.000
0.000 7.789 0.000
0.000 0.000 7.789
Ba Hg Pb Au
4 4 4 4
Cartesian
0.000 0.000 0.000 Ba
0.000 3.895 3.895 Ba
3.895 0.000 3.895 Ba
3.895 3.895 0.000 Ba
1.947 1.947 5.842 Hg
1.947 5.842 1.947 Hg
5.842 1.947 1.947 Hg
5.842 5.842 5.842 Hg
0.000 0.000 3.895 Pb
0.000 3.895 0.000 Pb
3.895 0.000 0.000 Pb
3.895 3.895 3.895 Pb
1.947 1.947 1.947 Au
1.947 5.842 5.842 Au
5.842 1.947 5.842 Au
5.842 5.842 1.947 Au
```

energy = -2.73 eV/atom
energy of formation = -1.7 eV per formula unit
theoretical density = 10.43 Mg/m³

=====

Density functional theory data (GGA-PBE) for BaHgPb2Au2 after structural relaxation.

```
BaHgPb2Au2
1.0
5.736 0.000 0.000
0.000 5.736 0.000
0.000 0.000 12.333
Ba Hg Pb Au
2 2 4 4
Cartesian
0.000 0.000 0.000 Ba
2.868 2.868 6.166 Ba
0.000 0.000 6.166 Hg
2.868 2.868 0.000 Hg
0.000 2.868 3.083 Pb
0.000 2.868 9.250 Pb
2.868 0.000 3.083 Pb
2.868 0.000 9.250 Pb
0.000 0.000 3.427 Au
0.000 0.000 8.905 Au
2.868 2.868 2.739 Au
2.868 2.868 9.594 Au
```

energy = -2.88 eV/atom
energy of formation = -1.1 eV per formula unit
theoretical density = 9.38 Mg/m³

=====

> Which of these has the highest energy?

Ba2Hg6PbAu

=====

> Which of these has the highest theoretical density?

BaHgPbAu2

=====

> What is the energy in the first record?

-2.98 eV/atom

=====

> energy of number 2 (Ba2HgPb6Au)?

-3.14 eV/atom